First-principles (PBE) data for a geometry-optimized BaNbB3 structure, as listed in the Alexandria database.

The structure in CIF format:
```
data_BaNbB3
_chemical_formula_sum 'Ba1 Nb1 B3'
_symmetry_space_group_name_H-M 'P m -3 m'
_symmetry_Int_Tables_number 221
_symmetry_space_group_name_Hall '-P 4 2 3'
_cell_length_a 4.4935
_cell_length_b 4.4935
_cell_length_c 4.4935
_cell_angle_alpha 90.00
_cell_angle_beta 90.00
_cell_angle_gamma 90.00
loop_
_atom_site_label
_atom_site_fract_x
_atom_site_fract_y
_atom_site_fract_z
Ba1 0.0000 0.0000 0.0000
Nb1 0.5000 0.5000 0.5000
B1 0.0000 0.0000 0.5000
```

Calculated values
Crystal system   cubic
Calculated formation energy   3.0215 eV per atom